WF: optimized geometry, PBE+U.

Values from the calculation:
Raw total energy (eV/atom): -4.59
Theoretical density (g cm⁻³): 5.95
Energy above the lowest structure with this stoichiometry (meV/atom): 856.8
Total magnetic moment (μB per atom): 1.2498
DOS(E_F) (states/eV/cell): 0.83

The structure in POSCAR format:
```
WF
1.0
-6.862 1.387 -5.385
4.034 -4.647 -6.337
-1.259 -2.427 0.979
W F
4 4
direct
0.395 0.395 0.000
0.895 0.105 0.500
0.105 0.895 0.500
0.605 0.605 0.000
0.236 0.764 0.000
0.736 0.736 0.500
0.264 0.264 0.500
0.764 0.236 0.000
```